# Zn2BSe (PBE, optimized geometry)
# Calculated density ... 5.876 Mg/m³
# V ... 15.59 Å³/atom
# Symmetry ... No. 225
data_Zn2BSe
_space_group_name_H-M_alt 'P 1'
_space_group_IT_number 1
_cell_length_a 4.451
_cell_length_b 4.451
_cell_length_c 4.451
_cell_angle_alpha 60.00
_cell_angle_beta 60.00
_cell_angle_gamma 60.00
loop_
_space_group_symop_operation_xyz
'x,y,z'
loop_
_atom_site_label
_atom_site_fract_x
_atom_site_fract_y
_atom_site_fract_z
Zn1 0.250 0.250 0.250
Zn2 0.750 0.750 0.750
B1 0.000 0.000 0.000
Se1 0.500 0.500 0.500


# ZnBSe2 (PBE, optimized geometry)
# Calculated density ... 5.726 Mg/m³
# V ... 16.98 Å³/atom
# Symmetry ... No. 225
data_ZnBSe2
_space_group_name_H-M_alt 'P 1'
_space_group_IT_number 1
_cell_length_a 4.579
_cell_length_b 4.579
_cell_length_c 4.579
_cell_angle_alpha 60.00
_cell_angle_beta 60.00
_cell_angle_gamma 60.00
loop_
_space_group_symop_operation_xyz
'x,y,z'
loop_
_atom_site_label
_atom_site_fract_x
_atom_site_fract_y
_atom_site_fract_z
Zn1 0.500 0.500 0.500
B1 0.000 0.000 0.000
Se1 0.250 0.250 0.250
Se2 0.750 0.750 0.750


# ZnBSe2 (PBE, optimized geometry)
# Calculated density ... 5.676 Mg/m³
# V ... 17.12 Å³/atom
# Symmetry ... No. 216
data_ZnBSe2
_space_group_name_H-M_alt 'P 1'
_space_group_IT_number 1
_cell_length_a 4.593
_cell_length_b 4.593
_cell_length_c 4.593
_cell_angle_alpha 60.00
_cell_angle_beta 60.00
_cell_angle_gamma 60.00
loop_
_space_group_symop_operation_xyz
'x,y,z'
loop_
_atom_site_label
_atom_site_fract_x
_atom_site_fract_y
_atom_site_fract_z
Zn1 0.250 0.250 0.250
B1 0.500 0.500 0.500
Se1 0.000 0.000 0.000
Se2 0.750 0.750 0.750


Quick rundown of energy relative to the elements, uncorrected, same order as above: 3.74, 3.86, 4.51 eV per formula unit